Density functional theory data (meta-GGA SCAN) for a PBEsol-optimized structure of Rb5FeO4.

Unit cell a=7.837 b=8.614 c=6.526 alpha=90.00 beta=90.00 gamma=90.00
Space group Pmmn (No. 59, origin choice 2)
Unique sites:
Rb1 0.012 0.058 0.236 x8
Rb2 0.250 0.750 0.361 x2
Fe1 0.250 0.250 0.706 x2
O1 0.045 0.250 0.866 x4
O2 0.250 0.062 0.547 x4

Computed properties:
- Uncorrected formation energy: -1.404 eV/atom

=====

Density functional theory data (meta-GGA SCAN) for a PBEsol-optimized structure of Sr4Fe3ReO12.

Unit cell a=7.715 b=7.715 c=7.715 alpha=90.00 beta=90.00 gamma=90.00
Space group Im-3m (No. 229)
Unique sites:
Sr1 0.250 0.250 0.250 x8
Fe1 0.000 0.000 0.500 x6
Re1 0.000 0.000 0.000 x2
O1 0.000 0.000 0.247 x12
O2 0.000 0.250 0.500 x12

Computed properties:
- Uncorrected formation energy: -2.269 eV/atom

=====

Density functional theory data (meta-GGA SCAN) for a PBEsol-optimized structure of FeRhO3.

Unit cell a=3.809 b=3.809 c=3.809 alpha=90.00 beta=90.00 gamma=90.00
Space group Pm-3m (No. 221)
Unique sites:
Fe1 0.000 0.000 0.000 x1
Rh1 0.500 0.500 0.500 x1
O1 0.000 0.500 0.500 x3

Computed properties:
- Uncorrected formation energy: -0.376 eV/atom

=====

Density functional theory data (meta-GGA SCAN) for a PBEsol-optimized structure of FeSiRh2O.

Unit cell a=4.599 b=4.599 c=3.249 alpha=90.00 beta=90.00 gamma=90.00
Space group P4/mmm (No. 123)
Unique sites:
Fe1 0.000 0.000 0.000 x1
Si1 0.500 0.500 0.500 x1
Rh1 0.000 0.500 0.500 x2
O1 0.500 0.500 0.000 x1

Computed properties:
- Uncorrected formation energy: -0.060 eV/atom

=====

What is the uncorrected formation energy in the third record? -0.376 eV/atom

=====

What is the formula in the second record? Sr4Fe3ReO12

=====

Which value of uncorrected formation energy does entry 1 give? -1.404 eV/atom

=====

What is the formula in the second record? Sr4Fe3ReO12